[1]
Here is a geometry-optimized Th2FeCl structure from Alexandria via LeMat-Bulk. Energies are from PBE.

**Energy relative to the elements, uncorrected**: -0.7227 eV per atom
**N(E_F)**: 0.824 states/eV per atom
**Raw total energy**: -28.0 eV per cell
**Theoretical density**: 8.736 g/cm3
**V**: 105.6 Å³/cell

Lattice parameters (Å, degrees): 7.937 7.937 7.937 29.24 29.24 29.24
Atoms (fractional coordinates):
Th 0.229 0.229 0.229
Th 0.771 0.771 0.771
Fe 0.500 0.500 0.500
Cl 0.000 0.000 0.000

---

[2]
Here is a geometry-optimized Th4FeCl5 structure from Alexandria via LeMat-Bulk. Energies are from PBE.

**Energy relative to the elements, uncorrected**: -1.3850 eV per atom
**N(E_F)**: 0.535 states/eV per atom
**Raw total energy**: -61.2 eV per cell
**Theoretical density**: 6.860 g/cm3
**V**: 281.1 Å³/cell

Lattice parameters (Å, degrees): 3.735 8.666 8.988 80.27 78.59 88.54
Atoms (fractional coordinates):
Th 0.013 0.212 0.495
Th 0.342 0.948 0.838
Th 0.658 0.052 0.162
Th 0.987 0.788 0.505
Fe 0.500 0.000 0.500
Cl 0.145 0.313 0.167
Cl 0.166 0.785 0.173
Cl 0.500 0.500 0.500
Cl 0.834 0.215 0.827
Cl 0.855 0.687 0.833

---

[3]
Here is a geometry-optimized Th2FeCl structure from Alexandria via LeMat-Bulk. Energies are from PBE.

**Energy relative to the elements, uncorrected**: -0.7011 eV per atom
**N(E_F)**: 0.839 states/eV per atom
**Raw total energy**: -28.0 eV per cell
**Theoretical density**: 8.710 g/cm3
**V**: 105.9 Å³/cell

Lattice parameters (Å, degrees): 8.066 8.066 8.066 28.54 28.54 28.54
Atoms (fractional coordinates):
Th 0.000 0.000 0.000
Th 0.211 0.211 0.211
Fe 0.606 0.606 0.606
Cl 0.434 0.434 0.434

---

Look up the theoretical density of the second one. 6.860 g/cm3

---

V of number 2 (Th4FeCl5)? 281.1 Å³/cell